Compound: Nd2Dy6Ho3Tl
Source: Alexandria
Functional: GGA-PBE
Structure: optimized geometry

Properties
V   744 Å³/cell
E_tot   -107.19 eV for the cell shown
Fermi-level density of states   1.287 states/eV per atom
ρ   8.76 g cm⁻³
Formation energy from the elements   -0.029 eV/atom
Total magnetization   0.00 μB/f.u.

a = 6.0953 Å, b = 10.5662 Å, c = 11.7339 Å
α = 90.00°, β = 100.03°, γ = 90.00°
With the nearest neighbours (Å) after each atom.
Space group C2/m (No. 12)
Unique sites:
Nd 0.0000 0.1661 0.0000 [4 per cell]  3 Nd 3.51-3.53, 3 Tl 3.52-3.53, 6 Dy 3.55-3.56
Dy 0.2445 0.5000 0.7477 [4 per cell]  6 Dy 3.46-3.55, 3 Ho 3.50-3.53, 1 Tl 3.54, 2 Nd 3.56
Dy 0.2472 0.3360 0.2511 [8 per cell]  6 Dy 3.46-3.55, 3 Ho 3.51-3.54, 1 Tl 3.52, 2 Nd 3.55
Ho 0.0000 0.0000 0.5000 [2 per cell]  6 Dy 3.51-3.53, 6 Ho 3.52
Ho 0.0000 0.3333 0.5000 [4 per cell]  6 Dy 3.50-3.54, 6 Ho 3.52
Tl 0.0000 0.5000 0.0000 [2 per cell]  6 Nd 3.52-3.53, 6 Dy 3.52-3.54